Density functional theory data (PBEsol) for crystalline KInAg2 at its relaxed geometry.

Computed properties:
ΔH_f (0 K) in kJ/mol of formula units: -2
D(E_F) in states/eV/cell: 3.4
Raw total energy in eV/atom: -2.69

Structure (CIF):
```
data_KInAg2
_chemical_formula_sum 'K2 In2 Ag4'
_cell_length_a 8.2504
_cell_length_b 4.7583
_cell_length_c 6.5839
_cell_angle_alpha 90.00
_cell_angle_beta 114.33
_cell_angle_gamma 90.00
_symmetry_space_group_name_H-M 'C 1 m 1'
_symmetry_Int_Tables_number 8
_symmetry_space_group_name_Hall 'C -2y'
loop_
_atom_site_label
_atom_site_fract_x
_atom_site_fract_y
_atom_site_fract_z
_atom_site_occupancy
K1 0.0000 0.0000 0.0000 1
In1 0.3113 0.5000 0.4370 1
Ag1 0.1810 0.0000 0.5469 1
Ag2 0.4987 0.0000 0.4998 1
```



Density functional theory data (PBEsol) for crystalline KInAg2 at its relaxed geometry.

Computed properties:
ΔH_f (0 K) in kJ/mol of formula units: 37
D(E_F) in states/eV/cell: 1.5
Raw total energy in eV/atom: -2.59

Structure (CIF):
```
data_KInAg2
_chemical_formula_sum 'K1 In1 Ag2'
_cell_length_a 2.9922
_cell_length_b 4.1963
_cell_length_c 7.5907
_cell_angle_alpha 90.00
_cell_angle_beta 90.00
_cell_angle_gamma 90.00
_symmetry_space_group_name_H-M 'P m m m'
_symmetry_Int_Tables_number 47
_symmetry_space_group_name_Hall '-P 2 2'
loop_
_atom_site_label
_atom_site_fract_x
_atom_site_fract_y
_atom_site_fract_z
_atom_site_occupancy
K1 0.0000 0.0000 0.0000 1
In1 0.0000 0.0000 0.5000 1
Ag1 0.5000 0.5000 0.3108 1
```



Density functional theory data (PBEsol) for crystalline K2InAg at its relaxed geometry.

Computed properties:
ΔH_f (0 K) in kJ/mol of formula units: 0
D(E_F) in states/eV/cell: 4.7
Raw total energy in eV/atom: -2.14

Structure (CIF):
```
data_K2InAg
_chemical_formula_sum 'K4 In2 Ag2'
_cell_length_a 8.3228
_cell_length_b 4.7810
_cell_length_c 8.5484
_cell_angle_alpha 90.00
_cell_angle_beta 109.06
_cell_angle_gamma 90.00
_symmetry_space_group_name_H-M 'C 1 m 1'
_symmetry_Int_Tables_number 8
_symmetry_space_group_name_Hall 'C -2y'
loop_
_atom_site_label
_atom_site_fract_x
_atom_site_fract_y
_atom_site_fract_z
_atom_site_occupancy
K1 0.0000 0.0000 0.0000 1
K2 0.1859 0.0000 0.5564 1
In1 0.4256 0.0000 0.2774 1
Ag1 0.2588 0.5000 0.2790 1
```



- ΔH_f (0 K) of number 3 (K2InAg)?
  0 kJ/mol of formula units